# ZrTiPbAu

A geometry-optimized ZrTiPbAu structure (GGA-PBE, Alexandria).

Cell and atoms, written as POSCAR:
```
ZrTiPbAu
1.0
-1.037 -3.466 -3.285
3.200 -1.045 -3.542
2.428 -4.240 0.073
Ti Pb Zr Au
1 1 1 1
Cartesian
1.148 -2.188 -1.688
0.000 0.000 0.000
3.443 -6.563 -5.065
2.295 -4.375 -3.377
```

---

# TlPb5Au2

A geometry-optimized TlPb5Au2 structure (GGA-PBE, Alexandria).

Cell and atoms, written as POSCAR:
```
TlPb5Au2
1.0
3.674 0.000 -0.730
-0.665 7.111 -3.345
-0.117 -0.141 9.019
Pb Au Tl
5 2 1
Cartesian
-0.332 3.555 -1.672
1.160 0.507 5.839
2.088 2.644 0.902
1.732 6.463 -0.894
0.803 4.325 4.043
0.237 4.956 1.193
2.655 2.013 3.752
0.000 0.000 0.000
```

---

# Tl4Pb3Au2

A geometry-optimized Tl4Pb3Au2 structure (GGA-PBE, Alexandria).

Cell and atoms, written as POSCAR:
```
Tl4Pb3Au2
1.0
-3.082 -3.090 -1.130
4.739 -5.649 2.526
-3.466 4.370 6.496
Pb Tl Au
3 4 2
Cartesian
-0.102 -0.486 1.606
2.369 -2.825 1.263
-1.707 -3.884 6.287
0.989 -2.628 4.490
-3.324 1.428 5.162
-2.798 -1.742 3.402
1.516 -5.798 2.731
-0.590 -3.418 1.964
-1.219 -0.951 5.928
```

---

# TlPb2Au

A geometry-optimized TlPb2Au structure (GGA-PBE, Alexandria).

Summary:
Its energy above the most stable polymorph in this dataset is 0.053 eV per atom.

Cell and atoms, written as POSCAR:
```
TlPb2Au
1.0
6.615 0.064 0.087
5.646 3.447 0.087
2.384 0.682 5.051
Pb Au Tl
2 1 1
Cartesian
7.674 2.197 2.436
11.910 3.410 0.349
3.661 1.048 1.306
10.984 3.145 3.918
```

---

# Tl3Pb4Au4

A geometry-optimized Tl3Pb4Au4 structure (GGA-PBE, Alexandria).

Cell and atoms, written as POSCAR:
```
Tl3Pb4Au4
1.0
5.925 0.219 0.171
-0.112 3.424 -0.726
2.038 1.458 14.442
Tl Au Pb
3 4 4
Cartesian
4.284 0.922 3.620
0.000 0.000 0.000
3.568 4.180 10.266
5.493 2.090 8.784
4.212 3.001 13.019
2.358 3.012 5.103
3.640 2.101 0.867
2.457 1.816 7.853
5.394 3.286 6.033
1.230 2.330 2.459
6.621 2.771 11.428
```

---

# Tl5PbAu2

A geometry-optimized Tl5PbAu2 structure (GGA-PBE, Alexandria).

Cell and atoms, written as POSCAR:
```
Tl5PbAu2
1.0
-0.061 3.581 -0.776
-6.283 -1.667 1.457
3.289 4.160 18.940
Tl Pb Au
10 2 4
Cartesian
0.713 1.763 8.081
-2.645 5.731 18.005
-2.659 1.909 9.020
-0.396 4.165 10.601
-3.906 0.332 1.840
-3.668 1.128 5.495
-0.410 0.343 1.616
-3.768 4.311 11.540
0.613 4.946 14.126
0.851 5.742 17.781
-2.825 5.013 14.708
-0.230 1.061 4.913
-1.573 3.262 6.526
-1.483 2.812 13.095
-0.883 3.571 16.550
-2.173 2.503 3.071
```

---

# TlPbAu4

A geometry-optimized TlPbAu4 structure (GGA-PBE, Alexandria).

Summary:
Its energy above the most stable polymorph in this dataset is 0.000 eV per atom.

Cell and atoms, written as POSCAR:
```
TlPbAu4
1.0
-3.168 -4.622 1.152
2.512 -5.096 0.668
0.240 -2.414 5.181
Au Tl Pb
4 1 1
Cartesian
-0.260 -7.583 4.376
-0.380 -6.376 1.784
1.325 -5.271 3.800
-1.517 -5.034 4.042
0.000 0.000 0.000
-0.104 -3.033 1.750
```

---

# Tl4Pb2Au

A geometry-optimized Tl4Pb2Au structure (GGA-PBE, Alexandria).

Cell and atoms, written as POSCAR:
```
Tl4Pb2Au
1.0
-3.351 -0.015 0.729
-0.288 -11.218 -1.556
2.391 -1.581 10.960
Tl Pb Au
8 4 2
Cartesian
0.163 -5.917 8.697
1.366 -11.302 6.049
0.120 -3.715 0.475
-0.321 -2.972 6.533
0.736 -1.498 3.355
-1.412 -6.897 1.436
1.983 -9.084 8.929
-0.928 -9.842 3.600
0.109 -9.790 0.298
-0.313 -8.303 6.460
1.994 -3.009 9.106
-0.936 -4.511 3.674
-1.676 -0.007 0.364
1.051 -6.400 4.702
```

---

# TlPb2Au

A geometry-optimized TlPb2Au structure (GGA-PBE, Alexandria).

Summary:
Its energy above the most stable polymorph in this dataset is 0.113 eV per atom.

Cell and atoms, written as POSCAR:
```
TlPb2Au
1.0
-3.930 3.913 -0.022
-2.805 -4.226 2.244
1.036 1.059 3.288
Au Pb Tl
1 2 1
Cartesian
-0.885 -1.584 2.766
-3.367 -0.156 1.111
0.000 0.000 0.000
-1.447 2.486 1.633
```

---

# TlPb12Au7

A geometry-optimized TlPb12Au7 structure (GGA-PBE, Alexandria).

Cell and atoms, written as POSCAR:
```
TlPb12Au7
1.0
-7.309 -0.494 -4.230
-0.553 -5.401 7.223
-6.632 2.698 5.510
Au Pb Tl
7 12 1
Cartesian
-5.677 -3.572 3.663
-3.654 -0.247 -2.115
-8.817 0.374 4.840
-6.317 -1.003 -1.165
-8.176 -2.194 9.668
-3.488 -4.004 7.418
-11.005 0.807 1.085
-3.113 -2.433 4.926
-6.411 -3.519 6.588
-7.476 -0.102 7.443
-8.655 -2.676 4.135
-10.238 -2.042 7.392
-5.356 -3.108 9.769
-5.839 -0.521 4.368
-7.017 -3.095 1.060
-11.380 -0.764 3.577
-9.137 -0.089 -1.266
-8.082 0.321 1.915
-4.255 -1.155 1.111
0.000 0.000 0.000
```

---

# TlPb6Au

A geometry-optimized TlPb6Au structure (GGA-PBE, Alexandria).

Summary:
Its energy above the most stable polymorph in this dataset is 0.000 eV per atom.

Cell and atoms, written as POSCAR:
```
TlPb6Au
1.0
4.709 0.000 0.000
0.000 7.153 -0.685
0.000 -0.232 7.182
Tl Pb Au
1 6 1
Cartesian
2.355 0.653 6.240
2.355 0.760 2.708
0.000 5.692 3.622
2.355 4.170 5.910
0.000 2.946 1.045
0.000 2.341 4.441
0.000 6.307 0.216
2.355 4.816 1.804
```

---

# TlPb6Au8

A geometry-optimized TlPb6Au8 structure (GGA-PBE, Alexandria).

Cell and atoms, written as POSCAR:
```
TlPb6Au8
1.0
7.159 0.099 2.614
1.861 6.913 2.614
0.128 0.099 7.620
Pb Tl Au
6 1 8
Cartesian
2.404 4.574 5.232
3.300 1.202 6.461
5.458 2.902 3.983
3.689 4.210 8.864
5.848 5.910 6.386
6.744 2.537 7.615
0.000 0.000 0.000
1.608 1.250 2.258
6.051 0.326 5.534
8.031 4.043 5.319
3.096 6.786 7.314
4.510 1.328 9.329
4.638 5.784 3.518
1.117 3.069 7.528
7.539 5.862 10.589
```

---

| no. | ΔE_f (kJ per mole of atoms) | spin magnetization (Bohr magnetons per cell) |
| --- | --- | --- |
| 1 | -13.8 | 0.87 |
| 2 | -2.9 | 0.00 |
| 3 | 0.0 | 0.00 |
| 4 | -1.3 | 0.00 |
| 5 | 0.9 | 0.00 |
| 6 | 1.1 | 0.00 |
| 7 | -0.4 | 0.00 |
| 8 | 7.6 | 0.00 |
| 9 | 4.5 | 0.00 |
| 10 | -2.6 | 0.00 |
| 11 | 0.2 | 0.00 |
| 12 | -2.6 | 0.00 |